Tb4ZnHg5 | PBE | relaxed

Computed properties:
D(E_F) = 0.780 states/eV per atom
Total magnetization = 0.0 μB per formula unit
DFT formation energy = -0.415 eV/atom
Uncorrected energy = -2.55 eV per atom
Energy above the lowest structure with this stoichiometry = 0.00 eV/f.u.

Cell: 5.152 6.330 8.265 Å, 103.22 108.16 90.00°
Fractional positions:
Tb1 0.688 0.313 0.376
Tb2 0.092 0.842 0.184
Tb3 0.312 0.687 0.624
Tb4 0.908 0.158 0.816
Zn1 0.500 0.000 0.000
Hg1 0.288 0.164 0.576
Hg2 0.102 0.358 0.205
Hg3 0.898 0.642 0.795
Hg4 0.500 0.500 0.000
Hg5 0.712 0.836 0.424